## CoGe2O6 (PBE+U)

Data for a geometry-optimized CoGe2O6 structure.

POSCAR file:
```
CoGe2O6
1.0
5.034 -4.436 0.000
5.034 4.436 0.000
-1.863 0.000 5.270
Co Ge O
2 4 12
direct
0.103 0.897 0.750 Co
0.897 0.103 0.250 Co
0.205 0.376 0.735 Ge
0.376 0.205 0.235 Ge
0.624 0.795 0.765 Ge
0.795 0.624 0.265 Ge
0.032 0.174 0.626 O
0.081 0.628 0.748 O
0.174 0.032 0.126 O
0.336 0.392 0.053 O
0.372 0.919 0.752 O
0.392 0.336 0.553 O
0.608 0.664 0.447 O
0.628 0.081 0.248 O
0.664 0.608 0.947 O
0.826 0.968 0.874 O
0.919 0.372 0.252 O
0.968 0.826 0.374 O
```

Computed properties:
Magnetic moment ... 5.0 μB per formula unit
V ... 117.7 Å³/f.u.
Total energy ... -6.07 eV/atom